Version P
! GGA-PBE DyGa4Pd2, optimized geometry; values from VASP
&SYSTEM
  ibrav = 0, nat = 14, ntyp = 3
/
ATOMIC_SPECIES
Dy 162.50 Dy.upf
Ga 69.72 Ga.upf
Pd 106.42 Pd.upf
ATOMIC_POSITIONS crystal
Dy 0.000 0.000 0.000
Dy 0.500 0.500 0.500
Ga 0.082 0.327 0.500
Ga 0.173 0.582 0.000
Ga 0.327 0.082 0.500
Ga 0.418 0.827 0.000
Ga 0.582 0.173 0.000
Ga 0.673 0.918 0.500
Ga 0.827 0.418 0.000
Ga 0.918 0.673 0.500
Pd 0.217 0.783 0.500
Pd 0.283 0.283 0.000
Pd 0.717 0.717 0.000
Pd 0.783 0.217 0.500
CELL_PARAMETERS angstrom
7.902 0.000 0.000
0.000 7.902 0.000
0.000 0.000 4.097
! M_tot (μB/atom): 0.000

---

Version Q
! GGA-PBE DyGa4Pd2, optimized geometry; values from VASP
&SYSTEM
  ibrav = 0, nat = 28, ntyp = 3
/
ATOMIC_SPECIES
Dy 162.50 Dy.upf
Ga 69.72 Ga.upf
Pd 106.42 Pd.upf
ATOMIC_POSITIONS crystal
Dy 0.140 0.250 0.011
Dy 0.360 0.750 0.511
Dy 0.640 0.250 0.489
Dy 0.860 0.750 0.989
Ga 0.038 0.750 0.839
Ga 0.075 0.250 0.485
Ga 0.181 0.750 0.320
Ga 0.189 0.750 0.726
Ga 0.311 0.250 0.226
Ga 0.319 0.250 0.820
Ga 0.425 0.750 0.985
Ga 0.462 0.250 0.339
Ga 0.538 0.750 0.661
Ga 0.575 0.250 0.015
Ga 0.681 0.750 0.180
Ga 0.689 0.750 0.774
Ga 0.811 0.250 0.274
Ga 0.819 0.250 0.680
Ga 0.925 0.750 0.515
Ga 0.962 0.250 0.161
Pd 0.034 0.750 0.250
Pd 0.220 0.250 0.529
Pd 0.280 0.750 0.029
Pd 0.466 0.250 0.750
Pd 0.534 0.750 0.250
Pd 0.720 0.250 0.971
Pd 0.780 0.750 0.471
Pd 0.966 0.250 0.750
CELL_PARAMETERS angstrom
17.560 0.000 0.000
0.000 4.329 0.000
0.000 0.000 6.517
! M_tot (μB/atom): 0.000

---

Name the least stable of them. version P.

---

Version P
! GGA-PBE Dy8GaPd2, optimized geometry; values from VASP
&SYSTEM
  ibrav = 0, nat = 11, ntyp = 3
/
ATOMIC_SPECIES
Dy 162.50 Dy.upf
Ga 69.72 Ga.upf
Pd 106.42 Pd.upf
ATOMIC_POSITIONS crystal
Dy 0.032 0.032 0.282
Dy 0.200 0.200 0.825
Dy 0.328 0.328 0.516
Dy 0.406 0.406 0.036
Dy 0.594 0.594 0.964
Dy 0.672 0.672 0.484
Dy 0.800 0.800 0.175
Dy 0.968 0.968 0.718
Ga 0.500 0.500 0.500
Pd 0.181 0.181 0.221
Pd 0.819 0.819 0.779
CELL_PARAMETERS angstrom
8.848 -2.548 0.000
8.848 2.548 0.000
-1.991 0.000 6.512
! M_tot (μB/atom): 0.000

---

Version Q
! GGA-PBE Dy8GaPd2, optimized geometry; values from VASP
&SYSTEM
  ibrav = 0, nat = 11, ntyp = 3
/
ATOMIC_SPECIES
Dy 162.50 Dy.upf
Ga 69.72 Ga.upf
Pd 106.42 Pd.upf
ATOMIC_POSITIONS crystal
Dy 0.000 0.000 0.000
Dy 0.051 0.300 0.603
Dy 0.159 0.616 0.191
Dy 0.300 0.051 0.603
Dy 0.468 0.719 0.797
Dy 0.616 0.159 0.191
Dy 0.719 0.468 0.797
Dy 0.757 0.757 0.376
Ga 0.382 0.382 0.100
Pd 0.078 0.685 0.686
Pd 0.685 0.078 0.686
CELL_PARAMETERS angstrom
4.258 -6.696 0.000
4.258 6.696 0.000
-1.617 0.000 5.336
! M_tot (μB/atom): 0.000

---

Name the least stable of them. version Q.